(1)
Compound: ErCd11Sn
Source: Alexandria
Functional: PBE
Structure: optimized geometry

The structure in extended XYZ format:
```
13
Lattice="3.232 -6.951 0.000 3.232 6.951 0.000 -3.200 0.000 6.879" Properties=species:S:1:pos:R:3 pbc="T T T"
Er 0.000 0.000 0.000
Cd 1.616 3.476 0.000
Cd 0.059 2.431 2.383
Cd 0.116 1.507 5.417
Cd 0.059 -2.431 2.383
Cd 3.146 1.507 1.462
Cd 1.616 -3.476 0.000
Cd 1.631 0.000 3.440
Cd 0.116 -1.507 5.417
Cd 3.204 2.431 4.496
Cd 3.146 -1.507 1.462
Cd 3.204 -2.431 4.496
Sn -1.600 0.000 3.440
```

Computed properties:
**N(E_F)**: 0.30 states/eV/atom
**Formation enthalpy at 0 K**: -11 meV per atom
**Space-group type**: No. 12
**Total magnetization**: 0.0 Bohr magnetons per cell
**Uncorrected energy**: -1.44 eV/atom

=====

(2)
Compound: SrErCdSn
Source: Alexandria
Functional: PBE
Structure: optimized geometry

The structure in extended XYZ format:
```
16
Lattice="7.734 0.000 0.000 0.000 7.734 0.000 0.000 0.000 7.734" Properties=species:S:1:pos:R:3 pbc="T T T"
Sr 0.000 0.000 0.000
Sr 0.000 3.867 3.867
Sr 3.867 0.000 3.867
Sr 3.867 3.867 0.000
Er 0.000 0.000 3.867
Er 0.000 3.867 0.000
Er 3.867 0.000 0.000
Er 3.867 3.867 3.867
Cd 1.934 1.934 1.934
Cd 1.934 5.801 5.801
Cd 5.801 1.934 5.801
Cd 5.801 5.801 1.934
Sn 1.934 1.934 5.801
Sn 1.934 5.801 1.934
Sn 5.801 1.934 1.934
Sn 5.801 5.801 5.801
```

Computed properties:
**N(E_F)**: 0.76 states/eV/atom
**Formation enthalpy at 0 K**: -420 meV per atom
**Space-group type**: No. 216
**Total magnetization**: 0.0 Bohr magnetons per cell
**Uncorrected energy**: -3.21 eV/atom

=====

(3)
Compound: ErThCdSn
Source: Alexandria
Functional: PBE
Structure: optimized geometry

The structure in extended XYZ format:
```
16
Lattice="7.597 0.000 0.000 0.000 7.597 0.000 0.000 0.000 7.597" Properties=species:S:1:pos:R:3 pbc="T T T"
Er 0.000 0.000 0.000
Er 0.000 3.799 3.799
Er 3.799 0.000 3.799
Er 3.799 3.799 0.000
Th 0.000 0.000 3.799
Th 0.000 3.799 0.000
Th 3.799 0.000 0.000
Th 3.799 3.799 3.799
Cd 1.899 1.899 5.698
Cd 1.899 5.698 1.899
Cd 5.698 1.899 1.899
Cd 5.698 5.698 5.698
Sn 1.899 1.899 1.899
Sn 1.899 5.698 5.698
Sn 5.698 1.899 5.698
Sn 5.698 5.698 1.899
```

Computed properties:
**N(E_F)**: 1.01 states/eV/atom
**Formation enthalpy at 0 K**: -337 meV per atom
**Space-group type**: No. 216
**Total magnetization**: 0.0 Bohr magnetons per cell
**Uncorrected energy**: -4.56 eV/atom

=====

(4)
Compound: ErZnCdSn
Source: Alexandria
Functional: PBE
Structure: optimized geometry

The structure in extended XYZ format:
```
4
Lattice="4.357 0.000 0.000 0.000 4.408 0.000 0.000 0.000 4.616" Properties=species:S:1:pos:R:3 pbc="T T T"
Er 0.000 0.000 0.000
Zn 2.178 0.000 2.308
Cd 0.000 2.204 2.308
Sn 2.178 2.204 0.000
```

Computed properties:
**N(E_F)**: 0.27 states/eV/atom
**Formation enthalpy at 0 K**: -371 meV per atom
**Space-group type**: No. 47
**Total magnetization**: 0.0 Bohr magnetons per cell
**Uncorrected energy**: -3.06 eV/atom

=====

(5)
Compound: Sr2ErCd3
Source: Alexandria
Functional: PBE
Structure: optimized geometry

The structure in extended XYZ format:
```
12
Lattice="2.769 -8.317 0.000 2.769 8.317 0.000 0.000 0.000 7.918" Properties=species:S:1:pos:R:3 pbc="T T T"
Sr 0.000 0.000 0.000
Sr 0.000 0.000 3.959
Sr 2.769 2.745 0.000
Sr 2.769 -2.745 0.000
Er 2.769 2.785 3.959
Er 2.769 -2.785 3.959
Cd 2.769 5.427 2.208
Cd 2.769 5.427 5.710
Cd 2.769 0.000 2.139
Cd 2.769 0.000 5.779
Cd 2.769 -5.427 2.208
Cd 2.769 -5.427 5.710
```

Computed properties:
**N(E_F)**: 0.78 states/eV/atom
**Formation enthalpy at 0 K**: -299 meV per atom
**Space-group type**: No. 65
**Total magnetization**: 0.0 Bohr magnetons per cell
**Uncorrected energy**: -2.08 eV/atom

=====

(6)
Compound: SrErCd4
Source: Alexandria
Functional: PBE
Structure: optimized geometry

The structure in extended XYZ format:
```
6
Lattice="3.562 0.000 0.000 0.000 5.063 0.000 0.000 0.000 8.772" Properties=species:S:1:pos:R:3 pbc="T T T"
Sr 0.000 0.000 0.000
Er 0.000 2.531 4.386
Cd 1.781 0.000 2.982
Cd 1.781 0.000 5.790
Cd 1.781 2.531 1.539
Cd 1.781 2.531 7.233
```

Computed properties:
**N(E_F)**: 0.58 states/eV/atom
**Formation enthalpy at 0 K**: -314 meV per atom
**Space-group type**: No. 47
**ΔE to the lowest computed polymorph**: 0 meV per atom
**Total magnetization**: 0.0 Bohr magnetons per cell
**Uncorrected energy**: -1.96 eV/atom